No. 1
VASP calculation (GGA-PBE) on RbBa2CaAg after structural relaxation.

```
RbBa2CaAg
1.0
6.571 0.000 0.000
0.000 6.571 0.000
0.000 0.000 6.677
Rb Ca Ba Ag
1 1 2 1
Cartesian
0.000 0.000 3.339
3.285 3.285 3.339
0.000 3.285 0.000
3.285 0.000 0.000
0.000 0.000 0.000
```

* formation energy: 0.097 eV/atom
* calculated total energy: -1.84 eV per atom
* excess energy over the best structure of this formula in the dataset: 12.08 kJ/mol of atoms

No. 2
VASP calculation (GGA-PBE) on RbBa2CaAg after structural relaxation.

```
RbBa2CaAg
1.0
6.686 0.000 0.000
0.000 6.686 0.000
0.000 0.000 6.138
Rb Ca Ba Ag
1 1 2 1
Cartesian
3.343 3.343 3.069
0.000 0.000 3.069
0.000 3.343 0.000
3.343 0.000 0.000
0.000 0.000 0.000
```

* formation energy: -0.028 eV/atom
* calculated total energy: -1.96 eV per atom
* excess energy over the best structure of this formula in the dataset: 0.00 kJ/mol of atoms

No. 3
VASP calculation (GGA-PBE) on Ba2CaAgRh after structural relaxation.

```
Ba2CaAgRh
1.0
5.996 0.000 0.000
0.000 5.996 0.000
0.000 0.000 5.468
Ca Rh Ba Ag
1 1 2 1
Cartesian
0.000 0.000 2.734
0.000 0.000 0.000
0.000 2.998 0.000
2.998 0.000 0.000
2.998 2.998 2.734
```

* formation energy: -0.123 eV/atom
* calculated total energy: -3.33 eV per atom

No. 4
VASP calculation (GGA-PBE) on BaCaAgRu2 after structural relaxation.

```
BaCaAgRu2
1.0
-0.694 2.035 4.618
-4.884 -1.443 -0.098
1.425 -4.987 2.411
Ru Ca Ba Ag
2 1 1 1
Cartesian
-2.442 -0.722 -0.049
-0.347 1.017 2.309
-2.076 -2.198 3.466
0.000 0.000 0.000
0.713 -2.493 1.206
```

* formation energy: 1.549 eV/atom
* calculated total energy: -3.52 eV per atom

No. 5
VASP calculation (GGA-PBE) on Ba2CaAg3Sb4 after structural relaxation.

```
Ba2CaAg3Sb4
1.0
-0.575 -1.333 -4.718
1.847 -4.460 1.034
-11.242 -4.071 2.521
Ba Ca Ag Sb
2 1 3 4
Cartesian
-2.903 -1.614 -1.773
-7.703 -5.354 2.451
-4.985 -4.932 -0.582
-5.621 -2.036 1.260
-10.127 -4.230 -0.153
-0.479 -2.738 0.832
0.636 -2.896 -1.842
0.000 0.000 0.000
-7.566 -3.302 -0.727
-3.040 -3.665 1.406
```

* calculated total energy: -3.74 eV per atom
* formation energy without anion corrections: -0.648 eV/atom

No. 6
VASP calculation (GGA-PBE) on BaCa2ScAg after structural relaxation.

```
BaCa2ScAg
1.0
-5.192 3.107 -0.413
-2.361 -3.533 3.101
1.554 3.246 4.881
Sc Ca Ba Ag
1 2 1 1
Cartesian
0.000 0.000 0.000
0.777 1.623 2.441
-2.596 1.553 -0.207
-2.999 1.410 3.784
-1.180 -1.766 1.550
```

* formation energy: 0.397 eV/atom
* calculated total energy: -2.62 eV per atom